Record 1
Entry from the Alexandria database: BaGaN after structural relaxation (GGA-PBE).

Summary:
uncorrected energy	-14.3	eV for the cell shown
E_form (uncorrected)	-344	meV per atom
M_tot	0.0	μB/f.u.

```
data_BaGaN
_chemical_formula_sum 'Ba1 Ga1 N1'
_space_group_name_H-M_alt 'P 3 m 1'
_space_group_IT_number 156
_space_group_name_Hall 'P 3 -2"'
_cell_length_a 4.2103
_cell_length_b 4.2103
_cell_length_c 5.8740
_cell_angle_alpha 90.00
_cell_angle_beta 90.00
_cell_angle_gamma 120.00
loop_
_atom_site_label
_atom_site_type_symbol
_atom_site_fract_x
_atom_site_fract_y
_atom_site_fract_z
_atom_site_occupancy
Ba1 Ba 0.0000 0.0000 0.0000 1
Ga1 Ga 0.6667 0.3333 0.4897 1
N1 N 0.6667 0.3333 0.1847 1
```


Record 2
Entry from the Alexandria database: Li2CeSb2Au2 after structural relaxation (GGA-PBE).

Summary:
uncorrected energy	-87.7	eV for the cell shown
E_form (uncorrected)	-665	meV per atom
M_tot	0.6	μB/f.u.

```
data_Li2CeSb2Au2
_chemical_formula_sum 'Li6 Ce3 Sb6 Au6'
_space_group_name_H-M_alt 'R -3 m'
_space_group_IT_number 166
_space_group_name_Hall '-R 3 2"'
_cell_length_a 4.5330
_cell_length_b 4.5330
_cell_length_c 25.3121
_cell_angle_alpha 90.00
_cell_angle_beta 90.00
_cell_angle_gamma 120.00
loop_
_atom_site_label
_atom_site_type_symbol
_atom_site_fract_x
_atom_site_fract_y
_atom_site_fract_z
_atom_site_occupancy
Li1 Li 0.0000 0.0000 0.1452 1
Ce1 Ce 0.0000 0.0000 0.0000 1
Sb1 Sb 0.0000 0.0000 0.2619 1
Au1 Au 0.0000 0.0000 0.4439 1
```


Record 3
Entry from the Alexandria database: Tb8Pm5Tm after structural relaxation (GGA-PBE).

Summary:
uncorrected energy	-123.6	eV for the cell shown
DFT formation energy	3.4	eV/f.u.
M_tot	0.0	μB/f.u.

```
data_Tb8Pm5Tm
_chemical_formula_sum 'Tb16 Pm10 Tm2'
_space_group_name_H-M_alt 'I -4'
_space_group_IT_number 82
_space_group_name_Hall 'I -4'
_cell_length_a 9.646
_cell_length_b 9.646
_cell_length_c 10.100
_cell_angle_alpha 90.00
_cell_angle_beta 90.00
_cell_angle_gamma 90.00
loop_
_atom_site_label
_atom_site_type_symbol
_atom_site_fract_x
_atom_site_fract_y
_atom_site_fract_z
_atom_site_occupancy
Tb1 Tb 0.070 0.174 0.343 1
Tb2 Tb 0.086 0.322 0.003 1
Pm1 Pm 0.000 0.500 0.250 1
Pm2 Pm 0.109 0.287 0.672 1
Tm1 Tm 0.000 0.000 0.000 1
```


Record 4
Entry from the Alexandria database: Li2LaMgPd after structural relaxation (GGA-PBE).

Summary:
uncorrected energy	-16.1	eV for the cell shown
DFT formation energy	-0.5	eV/f.u.
M_tot	0.5	μB/f.u.

```
data_Li2LaMgPd
_chemical_formula_sum 'Li2 La1 Mg1 Pd1'
_space_group_name_H-M_alt 'P 4/m m m'
_space_group_IT_number 123
_space_group_name_Hall '-P 4 2'
_cell_length_a 4.852
_cell_length_b 4.852
_cell_length_c 5.012
_cell_angle_alpha 90.00
_cell_angle_beta 90.00
_cell_angle_gamma 90.00
loop_
_atom_site_label
_atom_site_type_symbol
_atom_site_fract_x
_atom_site_fract_y
_atom_site_fract_z
_atom_site_occupancy
Li1 Li 0.000 0.500 0.000 1
La1 La 0.000 0.000 0.500 1
Mg1 Mg 0.500 0.500 0.500 1
Pd1 Pd 0.500 0.500 0.000 1
```


Record 5
Entry from the Alexandria database: Be2AlTc after structural relaxation (GGA-PBE).

Summary:
uncorrected energy	-45.9	eV for the cell shown
DFT formation energy	-1.4	eV/f.u.
M_tot	0.0	μB/f.u.

```
data_Be2AlTc
_chemical_formula_sum 'Be4 Al2 Tc2'
_space_group_name_H-M_alt 'I -4 m 2'
_space_group_IT_number 119
_space_group_name_Hall 'I -4 -2'
_cell_length_a 3.368
_cell_length_b 3.368
_cell_length_c 7.965
_cell_angle_alpha 90.00
_cell_angle_beta 90.00
_cell_angle_gamma 90.00
loop_
_atom_site_label
_atom_site_type_symbol
_atom_site_fract_x
_atom_site_fract_y
_atom_site_fract_z
_atom_site_occupancy
Be1 Be 0.000 0.000 0.000 1
Be2 Be 0.000 0.500 0.250 1
Al1 Al 0.000 0.500 0.750 1
Tc1 Tc 0.000 0.000 0.500 1
```


Record 6
Entry from the Alexandria database: CeSb2Pd2 after structural relaxation (GGA-PBE).

Summary:
uncorrected energy	-56.9	eV for the cell shown
E_form (uncorrected)	-772	meV per atom
M_tot	0.9	μB/f.u.

```
data_CeSb2Pd2
_chemical_formula_sum 'Ce2 Sb4 Pd4'
_space_group_name_H-M_alt 'P 4/n m m'
_space_group_IT_number 129
_cell_length_a 4.675
_cell_length_b 4.675
_cell_length_c 10.468
_cell_angle_alpha 90.00
_cell_angle_beta 90.00
_cell_angle_gamma 90.00
loop_
_space_group_symop_operation_xyz
'x,y,z'
'-x,-y,-z'
'-y+1/2,x,z'
'y+1/2,-x,-z'
'-x+1/2,-y+1/2,z'
'x+1/2,y+1/2,-z'
'y,-x+1/2,z'
'-y,x+1/2,-z'
'x+1/2,-y,-z'
'-x+1/2,y,z'
'-y,-x,-z'
'y,x,z'
'-x,y+1/2,-z'
'x,-y+1/2,z'
'y+1/2,x+1/2,-z'
'-y+1/2,-x+1/2,z'
loop_
_atom_site_label
_atom_site_type_symbol
_atom_site_fract_x
_atom_site_fract_y
_atom_site_fract_z
_atom_site_occupancy
Ce1 Ce 0.250 0.250 0.241 1
Sb1 Sb 0.250 0.250 0.872 1
Sb2 Sb 0.250 0.750 0.500 1
Pd1 Pd 0.250 0.250 0.625 1
Pd2 Pd 0.250 0.750 0.000 1
```


- Which value of uncorrected energy does entry 4 give?
  -16.1 eV for the cell shown